[1]
Density functional theory data (SCAN) for a crystal of Mn2AlZn relaxed with PBEsol.

Computed properties:
The calculation puts the density of states at the Fermi level at 2.00 states/eV/f.u. As for the formation energy: -0.251 eV per atom.

Cell: 2.895 4.151 4.151 Å, 90.00 90.00 90.00°
Site moments in Bohr magnetons follow the coordinates.
Sites, in units of the cell vectors:
1 Mn 0.000 0.500 0.626  3.22
2 Mn 0.000 0.000 0.124  3.22
3 Al 0.500 0.500 0.126  -0.09
4 Zn 0.500 0.000 0.624  -0.09


[2]
Density functional theory data (SCAN) for a crystal of MnAlZn2 relaxed with PBEsol.

Computed properties:
The calculation puts the density of states at the Fermi level at 1.59 states/eV/f.u. As for the formation energy: -0.174 eV per atom.

Cell: 2.712 4.490 4.634 Å, 108.67 90.00 90.00°
Site moments in Bohr magnetons follow the coordinates.
Sites, in units of the cell vectors:
1 Zn 0.000 0.000 0.000  -0.03
2 Zn 0.500 0.500 0.000  -0.08
3 Mn 0.000 0.500 0.500  3.16
4 Al 0.500 0.000 0.500  -0.07


[3]
Density functional theory data (SCAN) for a crystal of Mn3AlZn relaxed with PBEsol.

Computed properties:
The calculation puts the density of states at the Fermi level at 2.51 states/eV/f.u. As for the formation energy: 0.540 eV per atom.

Cell: 4.434 4.434 4.434 Å, 90.00 90.00 90.00°
Site moments in Bohr magnetons follow the coordinates.
Sites, in units of the cell vectors:
1 Al 0.500 0.500 0.500  -0.17
2 Mn 0.000 0.000 0.500  3.75
3 Mn 0.500 0.000 0.000  3.75
4 Mn 0.000 0.500 0.000  3.75
5 Zn 0.000 0.000 0.000  -0.13


[4]
Density functional theory data (SCAN) for a crystal of Mn2AlZn relaxed with PBEsol.

Computed properties:
The calculation puts the density of states at the Fermi level at 2.26 states/eV/f.u. As for the formation energy: -0.310 eV per atom.

Cell: 3.796 3.796 4.438 Å, 115.32 115.32 90.00°
Site moments in Bohr magnetons follow the coordinates.
Sites, in units of the cell vectors:
1 Mn 0.750 0.250 0.500  3.01
2 Mn 0.250 0.750 0.500  3.01
3 Al 0.500 0.500 0.000  -0.10
4 Zn 0.000 0.000 0.000  -0.10


[5]
Density functional theory data (SCAN) for a crystal of MnAlZn2 relaxed with PBEsol.

Computed properties:
The calculation puts the density of states at the Fermi level at 1.53 states/eV/f.u. As for the formation energy: -0.171 eV per atom.

Cell: 2.764 2.764 7.084 Å, 90.00 90.00 90.00°
Site moments in Bohr magnetons follow the coordinates.
Sites, in units of the cell vectors:
1 Zn 0.000 0.000 0.988  -0.06
2 Zn 0.500 0.500 0.243  0.01
3 Mn 0.500 0.500 0.750  3.04
4 Al 0.000 0.000 0.519  -0.05


[6]
Density functional theory data (SCAN) for a crystal of Mn2AlZn relaxed with PBEsol.

Computed properties:
The calculation puts the density of states at the Fermi level at 2.13 states/eV/f.u. As for the formation energy: -0.306 eV per atom.

Cell: 2.711 3.492 5.377 Å, 90.00 90.00 90.00°
Site moments in Bohr magnetons follow the coordinates.
Sites, in units of the cell vectors:
1 Mn 0.000 0.000 0.250  2.99
2 Mn 0.000 0.000 0.750  2.99
3 Al 0.500 0.500 0.500  -0.10
4 Zn 0.500 0.500 0.000  -0.10